MnAlIrO2: relaxed, GGA+U.

Structure (extended XYZ):
```
5
Lattice="3.6256 0.0000 0.0000 0.0000 3.6256 0.0000 0.0000 0.0000 5.3626" Properties=species:S:1:pos:R:3 pbc="T T T"
Mn 0.0000 0.0000 0.0000
Al 1.8128 1.8128 2.6813
Ir 0.0000 0.0000 2.6813
O 0.0000 1.8128 0.0000
O 1.8128 0.0000 0.0000
```

## Properties
- Density: 7.21 Mg/m³
- Calculated total energy: -6.242 eV/atom
- Volume: 14.098 Å³/atom
- Space-group type: P4/mmm, No. 123